The following is a DFT calculation (PBE) of a relaxed Na3CrRe crystal.

Lattice parameters (Å, degrees): 5.764 5.764 5.764 90.00 90.00 90.00
Positions (direct):
Na  0.000  0.000  0.500
Na  0.000  0.500  0.000
Na  0.500  0.000  0.000
Cr  0.500  0.500  0.500
Re  0.000  0.000  0.000

Density of states at the Fermi level = 4.2 states/eV/cell
Calculated formation energy = 1.91 eV per atom
Symmetry = No. 221
Electronic total energy = -3.291 eV per atom

---

The following is a DFT calculation (PBE) of a relaxed NaCr2Re2 crystal.

Lattice parameters (Å, degrees): 7.741 7.741 2.589 90.00 90.00 90.00
Positions (direct):
Na  0.000  0.000  0.000
Na  0.500  0.500  0.000
Cr  0.149  0.351  0.500
Cr  0.351  0.851  0.500
Cr  0.649  0.149  0.500
Cr  0.851  0.649  0.500
Re  0.143  0.643  0.000
Re  0.357  0.143  0.000
Re  0.643  0.857  0.000
Re  0.857  0.357  0.000

Density of states at the Fermi level = 8.4 states/eV/cell
Calculated formation energy = 0.49 eV per atom
Symmetry = No. 127
Electronic total energy = -8.607 eV per atom

---

Values of distance to the lowest polymorph of the same formula, in order: 0; 0, all in meV/atom.